## CaScBr2 (PBE)

Data for an optimized crystal structure of CaScBr2.

Formation energy without anion corrections = -1134 meV per atom
Theoretical density = 3.4 Mg/m³
Relative energy among the computed polymorphs = 0.00 eV/f.u.
Electronic total energy = -4.054 eV per atom

abc: 3.598 3.598 9.326
angles: 90.00 90.00 90.00
Positions (direct):
1 Ca 0.000 0.000 0.000
2 Sc 0.500 0.500 0.294
3 Br 0.000 0.000 0.443
4 Br 0.500 0.500 0.830

## CaScBr2 (PBE)

Data for an optimized crystal structure of CaScBr2.

Formation energy without anion corrections = -985 meV per atom
Theoretical density = 3.4 Mg/m³
Relative energy among the computed polymorphs = 0.60 eV/f.u.
Electronic total energy = -3.905 eV per atom

abc: 10.225 10.225 10.225
angles: 21.07 21.07 21.07
Positions (direct):
1 Ca 0.000 0.000 0.000
2 Sc 0.500 0.500 0.500
3 Br 0.225 0.225 0.225
4 Br 0.775 0.775 0.775

## CaScBr3 (PBE)

Data for an optimized crystal structure of CaScBr3.

Formation energy without anion corrections = -1117 meV per atom
Theoretical density = 3.5 Mg/m³
Relative energy among the computed polymorphs = 0.00 eV/f.u.
Electronic total energy = -3.788 eV per atom

abc: 5.347 5.347 5.347
angles: 90.00 90.00 90.00
Positions (direct):
1 Ca 0.000 0.000 0.000
2 Sc 0.500 0.500 0.500
3 Br 0.000 0.500 0.500
4 Br 0.500 0.000 0.500
5 Br 0.500 0.500 0.000

## CaScBr2 (PBE)

Data for an optimized crystal structure of CaScBr2.

Formation energy without anion corrections = -1012 meV per atom
Theoretical density = 3.4 Mg/m³
Relative energy among the computed polymorphs = 0.49 eV/f.u.
Electronic total energy = -3.931 eV per atom

abc: 10.054 10.054 10.054
angles: 21.59 21.59 21.59
Positions (direct):
1 Ca 0.000 0.000 0.000
2 Sc 0.500 0.500 0.500
3 Br 0.108 0.108 0.108
4 Br 0.892 0.892 0.892

## CaScBr2 (PBE)

Data for an optimized crystal structure of CaScBr2.

Formation energy without anion corrections = -789 meV per atom
Theoretical density = 3.6 Mg/m³
Relative energy among the computed polymorphs = 1.38 eV/f.u.
Electronic total energy = -3.709 eV per atom

abc: 7.479 7.479 7.479
angles: 148.59 148.59 45.01
Positions (direct):
1 Ca 0.000 0.000 0.000
2 Sc 0.250 0.750 0.500
3 Br 0.500 0.500 0.000
4 Br 0.750 0.250 0.500

## CaScBr2 (PBE)

Data for an optimized crystal structure of CaScBr2.

Formation energy without anion corrections = -768 meV per atom
Theoretical density = 3.1 Mg/m³
Relative energy among the computed polymorphs = 1.46 eV/f.u.
Electronic total energy = -3.688 eV per atom

abc: 7.878 7.878 7.878
angles: 131.83 131.83 70.49
Positions (direct):
1 Ca 0.000 0.000 0.000
2 Ca 0.750 0.250 0.500
3 Sc 0.250 0.750 0.500
4 Sc 0.500 0.500 0.000
5 Br 0.149 0.625 0.024
6 Br 0.375 0.399 0.524
7 Br 0.601 0.125 0.976
8 Br 0.875 0.851 0.476

## Ca3ScBr (PBE)

Data for an optimized crystal structure of Ca3ScBr.

Formation energy without anion corrections = 435 meV per atom
Theoretical density = 1.8 Mg/m³
Relative energy among the computed polymorphs = 2.87 eV/f.u.
Electronic total energy = -2.367 eV per atom

abc: 6.109 6.109 6.109
angles: 90.00 90.00 90.00
Positions (direct):
1 Ca 0.000 0.000 0.500
2 Ca 0.000 0.500 0.000
3 Ca 0.500 0.000 0.000
4 Sc 0.000 0.000 0.000
5 Br 0.500 0.500 0.500

## CaScBr2 (PBE)

Data for an optimized crystal structure of CaScBr2.

Formation energy without anion corrections = -764 meV per atom
Theoretical density = 4.3 Mg/m³
Relative energy among the computed polymorphs = 1.48 eV/f.u.
Electronic total energy = -3.684 eV per atom

abc: 5.139 5.139 3.577
angles: 90.00 90.00 90.00
Positions (direct):
1 Ca 0.000 0.000 0.000
2 Sc 0.500 0.500 0.000
3 Br 0.000 0.500 0.500
4 Br 0.500 0.000 0.500

## CaScBr2 (PBE)

Data for an optimized crystal structure of CaScBr2.

Formation energy without anion corrections = -932 meV per atom
Theoretical density = 4.0 Mg/m³
Relative energy among the computed polymorphs = 0.81 eV/f.u.
Electronic total energy = -3.852 eV per atom

abc: 4.869 4.869 6.371
angles: 103.03 103.03 44.20
Positions (direct):
1 Ca 0.000 0.000 0.000
2 Sc 0.500 0.500 0.500
3 Br 0.236 0.236 0.726
4 Br 0.764 0.764 0.274

## CaScBr2 (PBE)

Data for an optimized crystal structure of CaScBr2.

Formation energy without anion corrections = -763 meV per atom
Theoretical density = 4.3 Mg/m³
Relative energy among the computed polymorphs = 1.49 eV/f.u.
Electronic total energy = -3.682 eV per atom

abc: 5.123 5.123 5.123
angles: 60.00 60.00 60.00
Positions (direct):
1 Ca 0.000 0.000 0.000
2 Sc 0.500 0.500 0.500
3 Br 0.250 0.250 0.250
4 Br 0.750 0.750 0.750

## CaScBr2 (PBE)

Data for an optimized crystal structure of CaScBr2.

Formation energy without anion corrections = -886 meV per atom
Theoretical density = 3.6 Mg/m³
Relative energy among the computed polymorphs = 0.99 eV/f.u.
Electronic total energy = -3.806 eV per atom

abc: 3.604 4.600 6.774
angles: 90.00 90.00 90.00
Positions (direct):
1 Ca 0.000 0.000 0.000
2 Sc 0.500 0.000 0.500
3 Br 0.000 0.500 0.500
4 Br 0.500 0.500 0.000

## CaScBr (PBE)

Data for an optimized crystal structure of CaScBr.

Formation energy without anion corrections = -659 meV per atom
Theoretical density = 3.3 Mg/m³
Relative energy among the computed polymorphs = 0.00 eV/f.u.
Electronic total energy = -3.994 eV per atom

abc: 3.695 3.695 7.017
angles: 90.00 90.00 120.00
Positions (direct):
1 Ca 0.000 0.000 0.000
2 Sc 0.667 0.333 0.377
3 Br 0.333 0.667 0.663